Entry 1:
Entry from the Alexandria database: a relaxed structure of InCuNiAs2 (PBE).

Computed properties:
Magnetic moment, μB/atom: 0.000
N(E_F), states/eV/f.u.: 5.31
Total energy, eV/cell: -15.48
Calculated formation energy, meV per atom: 1286

Unit cell a=5.0480 b=5.0480 c=4.6494 alpha=90.00 beta=90.00 gamma=90.00
Space group P4/mmm (No. 123)
Unique sites:
In 0.0000 0.0000 0.0000
Cu 0.5000 0.5000 0.5000
Ni 0.0000 0.0000 0.5000
As 0.0000 0.5000 0.0000

Entry 2:
Entry from the Alexandria database: a relaxed structure of InCuAs2Pb (PBE).

Computed properties:
Magnetic moment, μB/atom: 0.000
N(E_F), states/eV/f.u.: 2.86
Total energy, eV/cell: -18.33
Calculated formation energy, meV per atom: 303

Unit cell a=4.8791 b=4.8791 c=5.0987 alpha=90.00 beta=90.00 gamma=90.00
Space group P4/mmm (No. 123)
Unique sites:
In 0.0000 0.0000 0.0000
Cu 0.0000 0.0000 0.5000
As 0.0000 0.5000 0.5000
Pb 0.5000 0.5000 0.0000

Entry 3:
Entry from the Alexandria database: a relaxed structure of In2CuReAs (PBE).

Computed properties:
Magnetic moment, μB/atom: 0.292
N(E_F), states/eV/f.u.: 5.05
Total energy, eV/cell: -21.06
Calculated formation energy, meV per atom: 1123

Unit cell a=5.2404 b=5.2404 c=4.7061 alpha=90.00 beta=90.00 gamma=90.00
Space group P4/mmm (No. 123)
Unique sites:
In 0.0000 0.5000 0.0000
Cu 0.0000 0.0000 0.5000
Re 0.0000 0.0000 0.0000
As 0.5000 0.5000 0.5000

Look up the total energy of the first one.
-15.48 eV/cell